*1*
Entry from the Alexandria database: a relaxed HoErInPb crystal (PBE).

Cell lengths 4.955, 4.955, 8.795 Å; angles 90.00, 90.00, 90.00 degrees
Space group I-4m2 (No. 119)
Inequivalent atoms, fractional coordinates:
Ho1 0.000 0.000 0.000 (multiplicity 2)
Er1 0.000 0.000 0.500 (multiplicity 2)
In1 0.000 0.500 0.250 (multiplicity 2)
Pb1 0.000 0.500 0.750 (multiplicity 2)

*2*
Entry from the Alexandria database: a relaxed HoErInPb crystal (PBE).

Cell lengths 7.586, 7.586, 7.586 Å; angles 90.00, 90.00, 90.00 degrees
Space group F-43m (No. 216)
Inequivalent atoms, fractional coordinates:
Ho1 0.000 0.000 0.000 (multiplicity 4)
Er1 0.000 0.000 0.500 (multiplicity 4)
In1 0.250 0.250 0.750 (multiplicity 4)
Pb1 0.250 0.250 0.250 (multiplicity 4)

Preferred: *1*; penalty for the next structure: 44 meV per atom.

*1*
Entry from the Alexandria database: a relaxed HoErInRh crystal (PBE).

Cell lengths 7.159, 7.159, 7.159 Å; angles 90.00, 90.00, 90.00 degrees
Space group F-43m (No. 216)
Inequivalent atoms, fractional coordinates:
Ho1 0.000 0.000 0.000 (multiplicity 4)
Er1 0.000 0.000 0.500 (multiplicity 4)
In1 0.250 0.250 0.750 (multiplicity 4)
Rh1 0.250 0.250 0.250 (multiplicity 4)

*2*
Entry from the Alexandria database: a relaxed HoErInRh crystal (PBE).

Cell lengths 3.508, 3.508, 7.475 Å; angles 90.00, 90.00, 90.00 degrees
Space group P4mm (No. 99)
Inequivalent atoms, fractional coordinates:
Ho1 0.000 0.000 0.000 (multiplicity 1)
Er1 0.000 0.000 0.566 (multiplicity 1)
In1 0.500 0.500 0.284 (multiplicity 1)
Rh1 0.500 0.500 0.780 (multiplicity 1)

Preferred: *2*; penalty for the next structure: 120 meV per atom.

*1*
Entry from the Alexandria database: a relaxed HoErInRu crystal (PBE).

Cell lengths 7.110, 7.110, 7.110 Å; angles 90.00, 90.00, 90.00 degrees
Space group F-43m (No. 216)
Inequivalent atoms, fractional coordinates:
Ho1 0.000 0.000 0.000 (multiplicity 4)
Er1 0.000 0.000 0.500 (multiplicity 4)
In1 0.250 0.250 0.750 (multiplicity 4)
Ru1 0.250 0.250 0.250 (multiplicity 4)

*2*
Entry from the Alexandria database: a relaxed HoErInRu crystal (PBE).

Cell lengths 3.436, 3.436, 7.761 Å; angles 90.00, 90.00, 90.00 degrees
Space group P4mm (No. 99)
Inequivalent atoms, fractional coordinates:
Ho1 0.000 0.000 0.000 (multiplicity 1)
Er1 0.000 0.000 0.578 (multiplicity 1)
In1 0.500 0.500 0.290 (multiplicity 1)
Ru1 0.500 0.500 0.787 (multiplicity 1)

Preferred: *2*; penalty for the next structure: 136 meV per atom.